No. 1
Entry from the Alexandria database: a relaxed structure of LaCr2Ni (PBE).

## Properties
DOS(E_F): 1.02 states/eV/atom
Calculated formation energy: 0.41 eV/atom
Space-group type: C2/m, No. 12
V: 17.5 Å³/atom
Relative energy among the computed polymorphs: 0.171 eV per atom

a b c (Å): 4.766 4.766 5.230
angles (deg): 80.41 80.41 36.85
Atoms (fractional coordinates):
Cr 0.968 0.968 0.124
Cr 0.532 0.532 0.376
La 0.750 0.750 0.750
Ni 0.250 0.250 0.250


No. 2
Entry from the Alexandria database: a relaxed structure of Sr2ZnCl6 (PBE).

## Properties
DOS(E_F): 0.00 states/eV/atom
Space-group type: P2_1/c, No. 14
V: 26.1 Å³/atom
Total energy: -3.752 eV/atom

a b c (Å): 6.647 7.602 9.314
angles (deg): 90.00 91.58 90.00
Atoms (fractional coordinates):
Sr 0.965 0.391 0.745
Sr 0.535 0.891 0.755
Sr 0.465 0.109 0.245
Sr 0.035 0.609 0.255
Zn 0.500 0.500 0.000
Zn 0.000 0.000 0.500
Cl 0.883 0.970 0.254
Cl 0.841 0.698 0.558
Cl 0.813 0.661 0.944
Cl 0.687 0.161 0.556
Cl 0.659 0.198 0.942
Cl 0.617 0.470 0.246
Cl 0.117 0.030 0.746
Cl 0.159 0.302 0.442
Cl 0.187 0.339 0.056
Cl 0.313 0.839 0.444
Cl 0.341 0.802 0.058
Cl 0.383 0.530 0.754


No. 3
Entry from the Alexandria database: a relaxed structure of CdCoN2 (PBE).

## Properties
DOS(E_F): 0.68 states/eV/atom
Space-group type: R-3m, No. 166
V: 11.6 Å³/atom
Total energy: -5.531 eV/atom

a b c (Å): 6.494 6.494 6.494
angles (deg): 26.00 26.00 26.00
Atoms (fractional coordinates):
N 0.884 0.884 0.884
N 0.116 0.116 0.116
Co 0.500 0.500 0.500
Cd 0.000 0.000 0.000


No. 4
Entry from the Alexandria database: a relaxed structure of La2PbCl (PBE).

## Properties
DOS(E_F): 0.54 states/eV/atom
Space-group type: I-4m2, No. 119
V: 31.5 Å³/atom
Relative energy among the computed polymorphs: 0.331 eV per atom

a b c (Å): 6.901 6.901 6.901
angles (deg): 141.55 141.55 55.51
Atoms (fractional coordinates):
Pb 0.500 0.500 0.000
Cl 0.750 0.250 0.500
La 0.000 0.000 0.000
La 0.250 0.750 0.500


No. 5
Entry from the Alexandria database: a relaxed structure of MgCu2Se2 (PBE).

## Properties
DOS(E_F): 0.00 states/eV/atom
Space-group type: Ibam, No. 72
V: 24.5 Å³/atom
Relative energy among the computed polymorphs: 0.068 eV per atom

a b c (Å): 7.773 7.773 7.773
angles (deg): 123.89 140.18 70.99
Atoms (fractional coordinates):
Cu 0.273 0.256 0.017
Cu 0.727 0.744 0.983
Cu 0.762 0.244 0.517
Cu 0.238 0.756 0.483
Mg 0.500 0.750 0.250
Mg 0.500 0.250 0.750
Se 0.146 0.398 0.748
Se 0.854 0.602 0.252
Se 0.350 0.102 0.248
Se 0.650 0.898 0.752


No. 6
Entry from the Alexandria database: a relaxed structure of YAg2Se (PBE).

## Properties
DOS(E_F): 0.46 states/eV/atom
Space-group type: Fmmm, No. 69
V: 23.5 Å³/atom
Total energy: -4.483 eV/atom

a b c (Å): 3.956 6.621 3.961
angles (deg): 72.56 90.13 107.42
Atoms (fractional coordinates):
Ag 0.000 0.000 0.000
Ag 0.500 0.000 0.500
Se 0.000 0.500 0.500
Y 0.500 0.500 0.000


Among the records above, which one has the highest DOS(E_F)?
LaCr2Ni